Record 1
AcNd3Dy8 | Alexandria | PBE | relaxed; VASP energy = -4.57 eV per atom; calculated volume = 404.7 Å³ per cell; DOS(E_F) = 22.22 states/eV/cell
1.0
-4.3624 -7.3947 -0.1632
4.6936 4.5909 -5.5347
6.6158 -2.2154 5.0231
Dy Nd Ac
8 3 1
Cartesian
3.2406 -1.0388 0.6740
0.4958 -2.5669 -1.0523
-1.8902 -5.1753 -1.1363
3.7088 -4.0006 -1.3897
6.3388 -1.5009 2.3112
6.1399 -1.3378 -1.3352
8.8395 0.1365 0.4219
5.3889 1.8560 -2.9505
3.9262 -4.2031 2.3319
3.0175 -0.7882 -2.9497
1.2381 -5.7481 0.5136
0.2770 -2.3453 -4.7660

=====

Record 2
YTc2Sb | Alexandria | PBE | relaxed; ΔE_f (raw) = 609 meV/atom; calculated volume = 172.9 Å³ per cell; DOS(E_F) = 8.03 states/eV/cell
1.0
7.5995 0.0000 0.0000
0.0000 7.5995 0.0000
3.7998 3.7998 2.9930
Tc Y Sb
4 2 2
Cartesian
9.4994 9.8471 2.2447
1.5522 5.6997 0.7482
5.6997 5.3520 2.2447
6.0473 1.8999 0.7482
3.7998 7.5995 1.4965
3.7998 3.7998 0.0000
0.0000 0.0000 0.0000
7.5995 3.7998 1.4965